[1]
# Mg4Au3

An optimized crystal structure of Mg4Au3 (PBE-GGA, the Open Quantum Materials Database).

a b c (Å): 7.791 7.791 4.926
angles (deg): 90.00 90.00 60.00
Atoms (fractional coordinates):
Au1 0.210 0.832 0.500
Mg1 0.121 0.528 0.500
Au2 0.263 0.566 0.000
Au3 0.689 0.672 0.500
Au4 0.529 0.353 0.500
Mg2 0.832 0.710 0.000
Mg3 0.567 0.172 0.000
Au5 0.742 0.406 0.000
Au6 0.424 0.885 0.000
Mg4 0.029 0.975 0.000
Mg5 0.143 0.286 0.000
Mg6 0.923 0.263 0.500
Mg7 0.810 0.952 0.500
Mg8 0.385 0.066 0.500

Output
energy above the most stable polymorph in this dataset	100	meV per atom
crystal system	hexagonal

***

[2]
# KPrSeO

An optimized crystal structure of KPrSeO (PBE-GGA, the Open Quantum Materials Database).

a b c (Å): 6.010 6.009 11.814
angles (deg): 90.00 105.36 90.00
Atoms (fractional coordinates):
O1 0.750 0.611 0.000
K1 0.951 0.113 0.400
K2 0.550 0.113 0.601
Se1 0.102 0.114 0.703
K3 0.049 0.613 0.600
Se2 0.398 0.115 0.297
Pr1 0.551 0.361 0.098
O2 0.750 0.111 0.000
Pr2 0.949 0.362 0.902
Se3 0.602 0.615 0.703
Se4 0.898 0.614 0.297
O3 0.250 0.111 0.000
K4 0.450 0.613 0.399
Pr3 0.449 0.861 0.902
Pr4 0.051 0.862 0.098
O4 0.250 0.611 0.000

Output
energy above the most stable polymorph in this dataset	0	meV per atom
crystal system	monoclinic
magnetic moment	0.0	μB/f.u.

***

[3]
# TbDy2In3Ag2Pt

An optimized crystal structure of TbDy2In3Ag2Pt (PBE-GGA, the Open Quantum Materials Database).

a b c (Å): 3.993 7.741 7.741
angles (deg): 120.03 90.00 90.00
Atoms (fractional coordinates):
In1 0.500 0.000 0.257
Dy1 0.000 0.603 0.000
Ag1 0.500 0.333 0.667
In2 0.500 0.257 0.000
Pt1 0.000 0.999 0.999
In3 0.500 0.742 0.742
Dy2 0.000 0.000 0.603
Ag2 0.500 0.667 0.333
Tb1 0.000 0.397 0.397

Output
crystal system	orthorhombic
DFT total energy	-0.160	hartree per atom
magnetic moment	0.0	μB/f.u.

***

[4]
# CdGePb

An optimized crystal structure of CdGePb (PBE-GGA, the Open Quantum Materials Database).

a b c (Å): 4.907 4.907 4.907
angles (deg): 60.00 60.00 60.00
Atoms (fractional coordinates):
Pb1 0.750 0.750 0.750
Ge1 0.000 0.000 0.000
Cd1 0.250 0.250 0.250

Output
energy above the most stable polymorph in this dataset	0	meV per atom
crystal system	cubic